# 1
DFT (PBE-GGA) results for crystalline Cu2Te3 at its relaxed geometry.

Cell and atoms, written as CIF:
```
data_Cu2Te3
_space_group_name_H-M_alt 'R -3 c'
_space_group_IT_number 167
_space_group_name_Hall '-R 3 2"c'
_cell_length_a 7.2328
_cell_length_b 7.2328
_cell_length_c 15.4598
_cell_angle_alpha 90.00
_cell_angle_beta 90.00
_cell_angle_gamma 120.00
loop_
_atom_site_label
_atom_site_fract_x
_atom_site_fract_y
_atom_site_fract_z
Cu1 0.0000 0.0000 0.1644
Te1 0.0000 0.3368 0.2500
```


# 2
# Cu4Te, optimized geometry, DFT PBE-GGA
# * ΔE to the lowest computed polymorph: 0.000 eV per atom
data_Cu4Te
_space_group_name_H-M_alt 'C 1 2/m 1'
_space_group_IT_number 12
_cell_length_a 4.2586
_cell_length_b 4.2544
_cell_length_c 9.4126
_cell_angle_alpha 90.00
_cell_angle_beta 101.94
_cell_angle_gamma 90.00
loop_
_space_group_symop_operation_xyz
'x,y,z'
'-x,-y,-z'
'-x,y,-z'
'x,-y,z'
'x+1/2,y+1/2,z'
'-x+1/2,-y+1/2,-z'
'-x+1/2,y+1/2,-z'
'x+1/2,-y+1/2,z'
loop_
_atom_site_label
_atom_site_fract_x
_atom_site_fract_y
_atom_site_fract_z
Cu1 0.1507 0.0000 0.2841
Cu2 0.2176 0.5000 0.4296
Te1 0.0000 0.0000 0.0000


# 3
DFT (PBE-GGA) results for crystalline Cu5Te7 at its relaxed geometry.

Cell and atoms, written as CIF:
```
data_Cu5Te7
_space_group_name_H-M_alt 'I 4 m m'
_space_group_IT_number 107
_space_group_name_Hall 'I 4 -2'
_cell_length_a 11.4405
_cell_length_b 11.4405
_cell_length_c 6.4091
_cell_angle_alpha 90.00
_cell_angle_beta 90.00
_cell_angle_gamma 90.00
loop_
_atom_site_label
_atom_site_fract_x
_atom_site_fract_y
_atom_site_fract_z
Cu1 0.0000 0.0000 0.0000
Cu2 0.1114 0.1114 0.6960
Te1 0.0000 0.0000 0.3963
Te2 0.0000 0.2509 0.9352
Te3 0.0000 0.5000 0.3110
```


# 4
DFT (PBE-GGA) results for crystalline ThCu2Te3 at its relaxed geometry.

Cell and atoms, written as CIF:
```
data_ThCu2Te3
_space_group_name_H-M_alt 'P 1 21/m 1'
_space_group_IT_number 11
_cell_length_a 7.8281
_cell_length_b 4.3375
_cell_length_c 11.3157
_cell_angle_alpha 90.00
_cell_angle_beta 103.87
_cell_angle_gamma 90.00
loop_
_space_group_symop_operation_xyz
'x,y,z'
'-x,-y,-z'
'-x,y+1/2,-z'
'x,-y+1/2,z'
loop_
_atom_site_label
_atom_site_fract_x
_atom_site_fract_y
_atom_site_fract_z
Th1 0.2333 0.2500 0.1973
Cu1 0.0455 0.2500 0.9098
Cu2 0.4256 0.7500 0.4080
Te1 0.0710 0.7500 0.3316
Te2 0.2389 0.7500 0.9818
Te3 0.4035 0.7500 0.6434
```


# 5
# Th2CuTe, optimized geometry, DFT PBE-GGA
# * ΔE to the lowest computed polymorph: 0.069 eV per atom
data_Th2CuTe
_space_group_name_H-M_alt 'P 4/m m m'
_space_group_IT_number 123
_space_group_name_Hall '-P 4 2'
_cell_length_a 3.7411
_cell_length_b 3.7411
_cell_length_c 7.4425
_cell_angle_alpha 90.00
_cell_angle_beta 90.00
_cell_angle_gamma 90.00
loop_
_atom_site_label
_atom_site_fract_x
_atom_site_fract_y
_atom_site_fract_z
Th1 0.0000 0.0000 0.2347
Cu1 0.5000 0.5000 0.0000
Te1 0.5000 0.5000 0.5000


# 6
DFT (PBE-GGA) results for crystalline Th2CuTe6 at its relaxed geometry.

Cell and atoms, written as CIF:
```
data_Th2CuTe6
_space_group_name_H-M_alt 'P 1 m 1'
_space_group_IT_number 6
_cell_length_a 6.2499
_cell_length_b 4.3939
_cell_length_c 10.5624
_cell_angle_alpha 90.00
_cell_angle_beta 99.11
_cell_angle_gamma 90.00
loop_
_space_group_symop_operation_xyz
'x,y,z'
'x,-y,z'
loop_
_atom_site_label
_atom_site_fract_x
_atom_site_fract_y
_atom_site_fract_z
Th1 0.0000 0.0000 0.0000
Th2 0.4136 0.5000 0.6717
Cu1 0.1150 0.5000 0.3732
Te1 0.0946 0.0000 0.5051
Te2 0.2969 0.5000 0.1674
Te3 0.4723 0.0000 0.8951
Te4 0.6026 0.0000 0.5000
Te5 0.8006 0.5000 0.1729
Te6 0.9406 0.5000 0.7772
```


# 7
# Th2CuTe, optimized geometry, DFT PBE-GGA
# * ΔE to the lowest computed polymorph: 0.000 eV per atom
data_Th2CuTe
_space_group_name_H-M_alt 'R -3 m'
_space_group_IT_number 166
_space_group_name_Hall '-R 3 2"'
_cell_length_a 4.2664
_cell_length_b 4.2664
_cell_length_c 22.0506
_cell_angle_alpha 90.00
_cell_angle_beta 90.00
_cell_angle_gamma 120.00
loop_
_atom_site_label
_atom_site_fract_x
_atom_site_fract_y
_atom_site_fract_z
Th1 0.0000 0.0000 0.2382
Cu1 0.0000 0.0000 0.5000
Te1 0.0000 0.0000 0.0000


# 8
# Th2CuTe, optimized geometry, DFT PBE-GGA
# * ΔE to the lowest computed polymorph: 0.039 eV per atom
data_Th2CuTe
_space_group_name_H-M_alt 'R 3 m'
_space_group_IT_number 160
_space_group_name_Hall 'R 3 -2"'
_cell_length_a 4.0824
_cell_length_b 4.0824
_cell_length_c 23.9479
_cell_angle_alpha 90.00
_cell_angle_beta 90.00
_cell_angle_gamma 120.00
loop_
_atom_site_label
_atom_site_fract_x
_atom_site_fract_y
_atom_site_fract_z
Th1 0.0000 0.0000 0.0000
Th2 0.0000 0.0000 0.1879
Cu1 0.0000 0.0000 0.5944
Te1 0.0000 0.0000 0.4271


# 9
DFT (PBE-GGA) results for crystalline ThCu2Te6 at its relaxed geometry.

Cell and atoms, written as CIF:
```
data_ThCu2Te6
_space_group_name_H-M_alt 'C 1 2/c 1'
_space_group_IT_number 15
_cell_length_a 15.0152
_cell_length_b 10.1524
_cell_length_c 8.5614
_cell_angle_alpha 90.00
_cell_angle_beta 117.85
_cell_angle_gamma 90.00
loop_
_space_group_symop_operation_xyz
'x,y,z'
'-x,-y,-z'
'-x,y,-z+1/2'
'x,-y,z+1/2'
'x+1/2,y+1/2,z'
'-x+1/2,-y+1/2,-z'
'-x+1/2,y+1/2,-z+1/2'
'x+1/2,-y+1/2,z+1/2'
loop_
_atom_site_label
_atom_site_fract_x
_atom_site_fract_y
_atom_site_fract_z
Th1 0.0000 0.1577 0.2500
Cu1 0.2018 0.4524 0.2457
Te1 0.0967 0.4410 0.4092
Te2 0.1117 0.0973 0.6711
Te3 0.1935 0.1752 0.1942
```


# 10
DFT (PBE-GGA) results for crystalline Th6CuTe5 at its relaxed geometry.

Cell and atoms, written as CIF:
```
data_Th6CuTe5
_space_group_name_H-M_alt 'C 1 2/m 1'
_space_group_IT_number 12
_cell_length_a 7.8297
_cell_length_b 13.2821
_cell_length_c 7.5516
_cell_angle_alpha 90.00
_cell_angle_beta 109.21
_cell_angle_gamma 90.00
loop_
_space_group_symop_operation_xyz
'x,y,z'
'-x,-y,-z'
'-x,y,-z'
'x,-y,z'
'x+1/2,y+1/2,z'
'-x+1/2,-y+1/2,-z'
'-x+1/2,y+1/2,-z'
'x+1/2,-y+1/2,z'
loop_
_atom_site_label
_atom_site_fract_x
_atom_site_fract_y
_atom_site_fract_z
Th1 0.2110 0.0000 0.2428
Th2 0.2234 0.1532 0.7253
Cu1 0.0000 0.0000 0.5000
Te1 0.0000 0.1873 0.0000
Te2 0.0000 0.3430 0.5000
Te3 0.0000 0.5000 0.0000
```


# 11
DFT (PBE-GGA) results for crystalline ThCuTe2 at its relaxed geometry.

Cell and atoms, written as CIF:
```
data_ThCuTe2
_space_group_name_H-M_alt 'R -3 m'
_space_group_IT_number 166
_space_group_name_Hall '-R 3 2"'
_cell_length_a 4.3332
_cell_length_b 4.3332
_cell_length_c 26.4412
_cell_angle_alpha 90.00
_cell_angle_beta 90.00
_cell_angle_gamma 120.00
loop_
_atom_site_label
_atom_site_fract_x
_atom_site_fract_y
_atom_site_fract_z
Th1 0.0000 0.0000 0.0000
Cu1 0.0000 0.0000 0.5000
Te1 0.0000 0.0000 0.4070
```


# 12
DFT (PBE-GGA) results for crystalline ThCuTe2 at its relaxed geometry.

Cell and atoms, written as CIF:
```
data_ThCuTe2
_space_group_name_H-M_alt 'P 1 c 1'
_space_group_IT_number 7
_cell_length_a 4.3374
_cell_length_b 10.8769
_cell_length_c 6.4575
_cell_angle_alpha 90.00
_cell_angle_beta 132.20
_cell_angle_gamma 90.00
loop_
_space_group_symop_operation_xyz
'x,y,z'
'x,-y,z+1/2'
loop_
_atom_site_label
_atom_site_fract_x
_atom_site_fract_y
_atom_site_fract_z
Th1 0.0000 0.1428 0.0000
Cu1 0.3101 0.3594 0.8112
Te1 0.0653 0.4164 0.0661
Te2 0.9951 0.1583 0.4951
```


# 13
DFT (PBE-GGA) results for crystalline Th2Tl3CuTe6 at its relaxed geometry.

Cell and atoms, written as CIF:
```
data_Th2Tl3CuTe6
_space_group_name_H-M_alt 'C 1 2/m 1'
_space_group_IT_number 12
_cell_length_a 7.7011
_cell_length_b 13.3152
_cell_length_c 8.6315
_cell_angle_alpha 90.00
_cell_angle_beta 107.51
_cell_angle_gamma 90.00
loop_
_space_group_symop_operation_xyz
'x,y,z'
'-x,-y,-z'
'-x,y,-z'
'x,-y,z'
'x+1/2,y+1/2,z'
'-x+1/2,-y+1/2,-z'
'-x+1/2,y+1/2,-z'
'x+1/2,-y+1/2,z'
loop_
_atom_site_label
_atom_site_fract_x
_atom_site_fract_y
_atom_site_fract_z
Th1 0.0000 0.1654 0.0000
Tl1 0.0000 0.0000 0.5000
Tl2 0.0000 0.3235 0.5000
Cu1 0.0000 0.5000 0.0000
Te1 0.2276 0.3413 0.2078
Te2 0.2481 0.0000 0.2159
```


# 14
DFT (PBE-GGA) results for crystalline Th3Tl3CuTe8 at its relaxed geometry.

Cell and atoms, written as CIF:
```
data_Th3Tl3CuTe8
_space_group_name_H-M_alt 'C 1 2/m 1'
_space_group_IT_number 12
_cell_length_a 14.9580
_cell_length_b 9.3669
_cell_length_c 9.4212
_cell_angle_alpha 90.00
_cell_angle_beta 119.65
_cell_angle_gamma 90.00
loop_
_space_group_symop_operation_xyz
'x,y,z'
'-x,-y,-z'
'-x,y,-z'
'x,-y,z'
'x+1/2,y+1/2,z'
'-x+1/2,-y+1/2,-z'
'-x+1/2,y+1/2,-z'
'x+1/2,-y+1/2,z'
loop_
_atom_site_label
_atom_site_fract_x
_atom_site_fract_y
_atom_site_fract_z
Th1 0.0000 0.0000 0.0000
Th2 0.2500 0.2500 0.0000
Tl1 0.0000 0.5000 0.5000
Tl2 0.2500 0.2500 0.5000
Cu1 0.0000 0.5000 0.0000
Te1 0.0170 0.2275 0.7736
Te2 0.1981 0.5000 0.1792
Te3 0.2425 0.0000 0.2248
```


# 15
DFT (PBE-GGA) results for crystalline TiCuTe2 at its relaxed geometry.

Cell and atoms, written as CIF:
```
data_TiCuTe2
_space_group_name_H-M_alt 'P 1 21/c 1'
_space_group_IT_number 14
_cell_length_a 8.6855
_cell_length_b 6.5398
_cell_length_c 8.2617
_cell_angle_alpha 90.00
_cell_angle_beta 117.96
_cell_angle_gamma 90.00
loop_
_space_group_symop_operation_xyz
'x,y,z'
'-x,-y,-z'
'-x,y+1/2,-z+1/2'
'x,-y+1/2,z+1/2'
loop_
_atom_site_label
_atom_site_fract_x
_atom_site_fract_y
_atom_site_fract_z
Ti1 0.0223 0.0237 0.3135
Cu1 0.1157 0.6398 0.5587
Te1 0.2057 0.2393 0.6380
Te2 0.2941 0.7466 0.3964
```


# 16
DFT (PBE-GGA) results for crystalline TiCuTe2 at its relaxed geometry.

Cell and atoms, written as CIF:
```
data_TiCuTe2
_space_group_name_H-M_alt 'F m -3 m'
_space_group_IT_number 225
_space_group_name_Hall '-F 4 2 3'
_cell_length_a 6.9458
_cell_length_b 6.9458
_cell_length_c 6.9458
_cell_angle_alpha 90.00
_cell_angle_beta 90.00
_cell_angle_gamma 90.00
loop_
_atom_site_label
_atom_site_fract_x
_atom_site_fract_y
_atom_site_fract_z
Ti1 0.0000 0.0000 0.0000
Cu1 0.0000 0.0000 0.5000
Te1 0.2500 0.2500 0.2500
```


# 17
DFT (PBE-GGA) results for crystalline Ti3Cu5Te12 at its relaxed geometry.

Cell and atoms, written as CIF:
```
data_Ti3Cu5Te12
_space_group_name_H-M_alt 'I a -3 d'
_space_group_IT_number 230
_space_group_name_Hall '-I 4bd 2c 3'
_cell_length_a 16.0077
_cell_length_b 16.0077
_cell_length_c 16.0077
_cell_angle_alpha 90.00
_cell_angle_beta 90.00
_cell_angle_gamma 90.00
loop_
_atom_site_label
_atom_site_fract_x
_atom_site_fract_y
_atom_site_fract_z
Ti1 0.0000 0.2500 0.1250
Cu1 0.0000 0.0000 0.0000
Cu2 0.0000 0.2500 0.3750
Te1 0.0227 0.0698 0.6534
```


# 18
DFT (PBE-GGA) results for crystalline Ti2CuTe at its relaxed geometry.

Cell and atoms, written as CIF:
```
data_Ti2CuTe
_space_group_name_H-M_alt 'I -4 2 d'
_space_group_IT_number 122
_space_group_name_Hall 'I -4 2bw'
_cell_length_a 7.1948
_cell_length_b 7.1948
_cell_length_c 5.6274
_cell_angle_alpha 90.00
_cell_angle_beta 90.00
_cell_angle_gamma 90.00
loop_
_atom_site_label
_atom_site_fract_x
_atom_site_fract_y
_atom_site_fract_z
Ti1 0.2322 0.2500 0.1250
Cu1 0.0000 0.0000 0.0000
Te1 0.0000 0.0000 0.5000
```


# 19
DFT (PBE-GGA) results for crystalline TiCuTe4 at its relaxed geometry.

Cell and atoms, written as CIF:
```
data_TiCuTe4
_space_group_name_H-M_alt 'P 1 2/m 1'
_space_group_IT_number 10
_cell_length_a 5.8936
_cell_length_b 3.9269
_cell_length_c 7.2121
_cell_angle_alpha 90.00
_cell_angle_beta 90.66
_cell_angle_gamma 90.00
loop_
_space_group_symop_operation_xyz
'x,y,z'
'-x,-y,-z'
'-x,y,-z'
'x,-y,z'
loop_
_atom_site_label
_atom_site_fract_x
_atom_site_fract_y
_atom_site_fract_z
Ti1 0.0000 0.0000 0.0000
Cu1 0.0000 0.5000 0.5000
Te1 0.2098 0.0000 0.3420
Te2 0.2993 0.5000 0.8729
```


# 20
DFT (PBE-GGA) results for crystalline TiCuTe2 at its relaxed geometry.

Cell and atoms, written as CIF:
```
data_TiCuTe2
_space_group_name_H-M_alt 'R -3 m'
_space_group_IT_number 166
_space_group_name_Hall '-R 3 2"'
_cell_length_a 3.8177
_cell_length_b 3.8177
_cell_length_c 24.9644
_cell_angle_alpha 90.00
_cell_angle_beta 90.00
_cell_angle_gamma 120.00
loop_
_atom_site_label
_atom_site_fract_x
_atom_site_fract_y
_atom_site_fract_z
Ti1 0.0000 0.0000 0.0000
Cu1 0.0000 0.0000 0.5000
Te1 0.0000 0.0000 0.4010
```


Ordered formation energy without anion corrections results: 0.06 0.18 0.22 -0.59 -0.44 -0.86 -0.51 -0.47 -0.33 -0.88 -0.51 -0.62 -0.67 -0.74 -0.48 0.02 -0.15 0.01 -0.29 -0.29; unit eV per atom.
Ordered magnetic moment results: 0.0 0.0 0.0 0.0 0.0 0.0 0.0 0.0 0.0 0.0 0.0 0.0 0.0 0.0 0.8 1.1 0.0 0.0 0.0 0.0; unit μB per formula unit.